1.
PBE Pm5YS6, optimized geometry; space-group type = C2/m (12); raw formation energy = -2.03 eV per atom; crystal system = monoclinic
1.0
3.4757 -6.0346 0.0000
3.4757 6.0346 0.0000
-2.3380 0.0000 6.5416
Pm Y S
5 1 6
Cartesian
0.0000 0.0000 0.0000
2.3067 4.0150 3.2708
3.4757 2.0467 0.0000
3.4757 -2.0467 0.0000
2.3067 -4.0150 3.2708
2.3067 0.0000 3.2708
1.1754 1.9711 1.6646
0.0288 0.0000 4.8908
1.1754 -1.9711 1.6646
3.4379 1.9711 4.8770
4.5845 0.0000 1.6508
3.4379 -1.9711 4.8770



2.
PBE PmY4S7, optimized geometry; space-group type = Cm (8); raw formation energy = -2.06 eV per atom; crystal system = monoclinic
1.0
6.4994 -1.9170 0.0000
6.4994 1.9170 0.0000
-2.9262 0.0000 11.3252
Pm Y S
1 4 7
Cartesian
0.0000 0.0000 0.0000
0.2274 0.0000 4.7774
0.4510 0.0000 9.5014
3.5800 0.0000 6.8688
9.8705 0.0000 2.6548
-0.9650 0.0000 7.1879
1.4197 0.0000 2.3717
4.5509 0.0000 0.7810
4.8211 0.0000 4.1877
5.2994 0.0000 10.3755
8.6423 0.0000 5.3378
8.8048 0.0000 8.7108



3.
PBE Pm4YS5, optimized geometry; space-group type = Immm (71); raw formation energy = -2.02 eV per atom; crystal system = orthorhombic
1.0
-2.0035 2.8353 10.0422
2.0035 -2.8353 10.0422
2.0035 2.8353 -10.0422
Pm Y S
4 1 5
Cartesian
0.0000 0.0000 2.0157
0.0000 0.0000 6.0481
0.0000 0.0000 14.0364
0.0000 0.0000 18.0688
0.0000 0.0000 10.0422
2.0035 0.0000 0.0000
2.0035 0.0000 4.0292
2.0035 0.0000 8.1086
0.0000 2.8353 1.9336
0.0000 2.8353 6.0130



4.
PBE Pm3Y2S8, optimized geometry; space-group type = C2/m (12); raw formation energy = -1.83 eV per atom; crystal system = monoclinic
1.0
6.9430 -4.0442 0.0000
6.9430 4.0442 0.0000
-2.4086 0.0000 6.4041
Pm Y S
3 2 8
Cartesian
0.0000 0.0000 0.0000
5.7387 1.9101 3.2021
5.7387 -1.9101 3.2021
1.6107 0.0000 5.4098
9.8666 0.0000 0.9943
4.9674 2.1567 0.5317
0.6132 0.0000 2.7901
6.5100 2.1567 5.8724
3.8446 0.0000 3.8767
7.6328 0.0000 2.5274
4.9674 -2.1567 0.5317
10.8641 0.0000 3.6140
6.5100 -2.1567 5.8724



5.
PBE PmY4S6, optimized geometry; space-group type = Cmcm (63); raw formation energy = -2.05 eV per atom; crystal system = orthorhombic
1.0
1.9361 -6.4549 0.0000
1.9361 6.4549 0.0000
0.0000 0.0000 19.9272
Pm Y S
2 8 12
Cartesian
1.9361 4.4829 14.9454
1.9361 -4.4829 4.9818
1.9361 5.2689 2.5356
1.9361 5.2689 7.4281
1.9361 1.7918 0.7906
1.9361 1.7918 9.1730
1.9361 -1.7918 10.7542
1.9361 -1.7918 19.1366
1.9361 -5.2689 12.4992
1.9361 -5.2689 17.3917
0.0000 0.0000 0.0000
0.0000 0.0000 9.9636
1.9361 4.0220 4.9818
1.9361 2.9823 11.7342
1.9361 2.9823 18.1566
1.9361 0.6286 3.3039
1.9361 0.6286 6.6597
1.9361 -0.6286 13.2675
1.9361 -0.6286 16.6233
1.9361 -2.9823 1.7706
1.9361 -2.9823 8.1930
1.9361 -4.0220 14.9454



6.
PBE Pm2Y3S8, optimized geometry; space-group type = C2/m (12); raw formation energy = -1.89 eV per atom; crystal system = monoclinic
1.0
6.9224 -4.0133 0.0000
6.9224 4.0133 0.0000
-2.3217 0.0000 6.3418
Pm Y S
2 3 8
Cartesian
2.8958 0.0000 0.9975
8.6273 0.0000 5.3444
5.7616 2.1050 3.1709
6.9224 0.0000 0.0000
5.7616 -2.1050 3.1709
0.6798 0.0000 2.6801
5.0306 1.8614 0.5563
4.0071 0.0000 3.6380
6.4925 1.8614 5.7855
5.0306 -1.8614 0.5563
7.5160 0.0000 2.7039
6.4925 -1.8614 5.7855
10.8433 0.0000 3.6617



Copy entry 4 word for word.
PBE Pm3Y2S8, optimized geometry; space-group type = C2/m (12); raw formation energy = -1.83 eV per atom; crystal system = monoclinic
1.0
6.9430 -4.0442 0.0000
6.9430 4.0442 0.0000
-2.4086 0.0000 6.4041
Pm Y S
3 2 8
Cartesian
0.0000 0.0000 0.0000
5.7387 1.9101 3.2021
5.7387 -1.9101 3.2021
1.6107 0.0000 5.4098
9.8666 0.0000 0.9943
4.9674 2.1567 0.5317
0.6132 0.0000 2.7901
6.5100 2.1567 5.8724
3.8446 0.0000 3.8767
7.6328 0.0000 2.5274
4.9674 -2.1567 0.5317
10.8641 0.0000 3.6140
6.5100 -2.1567 5.8724